The following is a DFT calculation (PBE-GGA) of a geometry-optimized MgIr2RhC structure.

```
MgIr2RhC
1.0
4.071 0.000 0.000
0.000 4.071 0.000
0.000 0.000 4.136
Mg Ir Rh C
1 2 1 1
direct
0.000 0.000 0.000
0.000 0.500 0.500
0.500 0.000 0.500
0.500 0.500 0.000
0.500 0.500 0.500
```

## Properties
The value obtained for the total energy is -7.266 eV/atom. The calculation puts the magnetization at 0.00 μB per cell. As for the calculated formation energy: -0.088 eV per atom.